{
  "formula": "CaZnCdGe",
  "functional": "PBE",
  "state": "relaxed",
  "lattice": [[0.0000, 3.5131, 3.5131], [3.5131, 0.0000, 3.5131], [3.5131, 3.5131, 0.0000]],
  "species": ["Ca", "Zn", "Cd", "Ge"],
  "frac_coords": [[0.0000, 0.0000, 0.0000], [0.7500, 0.7500, 0.7500], [0.5000, 0.5000, 0.5000], [0.2500, 0.2500, 0.2500]],
  "space_group": "F-43m (216)",
  "n_ef_per_ev_fu": 0.3,
  "total_energy_ev_per_fu": -9.67,
  "ef_ev_per_atom": -0.214
}

{
  "formula": "TbLuOsPt",
  "functional": "PBE",
  "state": "relaxed",
  "lattice": [[0.0000, 3.4163, 3.4163], [3.4163, 0.0000, 3.4163], [3.4163, 3.4163, 0.0000]],
  "species": ["Tb", "Lu", "Os", "Pt"],
  "frac_coords": [[0.0000, 0.0000, 0.0000], [0.5000, 0.5000, 0.5000], [0.7500, 0.7500, 0.7500], [0.2500, 0.2500, 0.2500]],
  "space_group": "F-43m (216)",
  "n_ef_per_ev_fu": 1.8,
  "total_energy_ev_per_fu": -29.22,
  "ef_ev_per_atom": -0.699
}

{
  "formula": "TiAl2CuAs",
  "functional": "PBE",
  "state": "relaxed",
  "lattice": [[4.9994, 0.0000, 0.0000], [0.0000, 4.9994, 0.0000], [0.0000, 0.0000, 4.7484]],
  "species": ["Ti", "Al", "Al", "Cu", "As"],
  "frac_coords": [[0.0000, 0.0000, 0.0000], [0.0000, 0.5000, 0.0000], [0.5000, 0.0000, 0.0000], [0.5000, 0.5000, 0.5000], [0.0000, 0.0000, 0.5000]],
  "space_group": "P4/mmm (123)",
  "n_ef_per_ev_fu": 4.3,
  "total_energy_ev_per_fu": -20.47,
  "ef_ev_per_atom": 0.732
}

{
  "formula": "NbAlInSe2",
  "functional": "PBE",
  "state": "relaxed",
  "lattice": [[5.0135, 0.0000, 0.0000], [0.0000, 5.0135, 0.0000], [0.0000, 0.0000, 5.5741]],
  "species": ["Nb", "Al", "In", "Se", "Se"],
  "frac_coords": [[0.0000, 0.0000, 0.0000], [0.5000, 0.5000, 0.5000], [0.0000, 0.0000, 0.5000], [0.0000, 0.5000, 0.0000], [0.5000, 0.0000, 0.0000]],
  "e_form_raw_kcal_per_mol_atoms": 2.58,
  "space_group": "P4/mmm (123)",
  "n_ef_per_ev_fu": 3.2,
  "total_energy_ev_per_fu": -22.96
}

{
  "formula": "La2Sm8Cd",
  "functional": "PBE",
  "state": "relaxed",
  "lattice": [[8.9848, -3.3700, 0.0000], [8.9848, 3.3700, 0.0000], [-1.8291, 0.0000, 6.0910]],
  "species": ["La", "La", "Sm", "Sm", "Sm", "Sm", "Sm", "Sm", "Sm", "Sm", "Cd"],
  "frac_coords": [[0.2304, 0.2304, 0.3642], [0.7696, 0.7696, 0.6358], [0.0866, 0.0866, 0.9102], [0.1777, 0.6523, 0.5636], [0.3076, 0.3076, 0.9356], [0.3477, 0.8223, 0.4364], [0.6523, 0.1777, 0.5636], [0.6924, 0.6924, 0.0644], [0.8223, 0.3477, 0.4364], [0.9134, 0.9134, 0.0898], [0.5000, 0.5000, 0.0000]],
  "de_polymorph_mev_per_atom": 129,
  "space_group": "C2/m (12)",
  "n_ef_per_ev_fu": 15.9,
  "total_energy_ev_per_fu": -47.20,
  "ef_ev_per_atom": 0.121
}

{
  "formula": "NdEr5Tl5",
  "functional": "PBE",
  "state": "relaxed",
  "lattice": [[7.9145, -2.9853, 0.0000], [7.9145, 2.9853, 0.0000], [-1.1271, 0.0000, 7.0846]],
  "species": ["Nd", "Er", "Er", "Er", "Er", "Er", "Tl", "Tl", "Tl", "Tl", "Tl"],
  "frac_coords": [[0.0000, 0.0000, 0.0000], [0.0000, 0.0000, 0.5000], [0.3223, 0.3223, 0.0895], [0.3683, 0.3683, 0.5980], [0.6317, 0.6317, 0.4020], [0.6777, 0.6777, 0.9105], [0.1725, 0.1725, 0.3008], [0.1769, 0.1769, 0.7400], [0.5000, 0.5000, 0.0000], [0.8231, 0.8231, 0.2600], [0.8275, 0.8275, 0.6992]],
  "space_group": "C2/m (12)",
  "n_ef_per_ev_fu": 9.4,
  "total_energy_ev_per_fu": -40.27,
  "ef_ev_per_atom": -0.078
}

{
  "formula": "Ho8GeAs3Se3",
  "functional": "PBE",
  "state": "relaxed",
  "lattice": [[4.0635, 2.3461, 6.6737], [-4.0635, 2.3461, 6.6737], [0.0000, -4.6921, 6.6737]],
  "species": ["Ho", "Ho", "Ho", "Ho", "Ho", "Ho", "Ho", "Ho", "Ge", "As", "As", "As", "Se", "Se", "Se"],
  "frac_coords": [[0.2409, 0.7539, 0.7539], [0.2458, 0.2458, 0.2458], [0.2461, 0.2461, 0.7591], [0.2461, 0.7591, 0.2461], [0.7539, 0.2409, 0.7539], [0.7539, 0.7539, 0.2409], [0.7542, 0.7542, 0.7542], [0.7591, 0.2461, 0.2461], [0.0000, 0.0000, 0.0000], [0.0000, 0.0000, 0.5000], [0.0000, 0.5000, 0.0000], [0.5000, 0.0000, 0.0000], [0.0000, 0.5000, 0.5000], [0.5000, 0.0000, 0.5000], [0.5000, 0.5000, 0.0000]],
  "e_form_raw_kcal_per_mol_atoms": -33.51,
  "space_group": "R-3m (166)",
  "n_ef_per_ev_fu": 3.9,
  "total_energy_ev_per_fu": -87.44
}

{
  "formula": "TaOs3",
  "functional": "PBE",
  "state": "relaxed",
  "lattice": [[2.7795, -3.9021, 0.0000], [2.7795, 3.9021, 0.0000], [0.0000, 0.0000, 2.7989]],
  "species": ["Ta", "Os", "Os", "Os"],
  "frac_coords": [[0.0000, 0.0000, 0.0000], [0.0000, 0.5000, 0.5000], [0.5000, 0.0000, 0.5000], [0.5000, 0.5000, 0.0000]],
  "space_group": "Cmmm (65)",
  "n_ef_per_ev_fu": 3.3,
  "total_energy_ev_per_fu": -45.73,
  "ef_ev_per_atom": -0.046
}

{
  "formula": "Pr3Sm2Sb3",
  "functional": "PBE",
  "state": "relaxed",
  "lattice": [[9.3260, 0.0000, 0.0000], [-4.6630, 8.0766, 0.0000], [0.0000, 0.0000, 6.5333]],
  "species": ["Pr", "Pr", "Pr", "Pr", "Pr", "Pr", "Sm", "Sm", "Sm", "Sm", "Sb", "Sb", "Sb", "Sb", "Sb", "Sb"],
  "frac_coords": [[0.0000, 0.2498, 0.2500], [0.0000, 0.7502, 0.7500], [0.2498, 0.0000, 0.2500], [0.2498, 0.2498, 0.7500], [0.7502, 0.0000, 0.7500], [0.7502, 0.7502, 0.2500], [0.3333, 0.6667, 0.0000], [0.3333, 0.6667, 0.5000], [0.6667, 0.3333, 0.0000], [0.6667, 0.3333, 0.5000], [0.0000, 0.3897, 0.7500], [0.0000, 0.6103, 0.2500], [0.3897, 0.0000, 0.7500], [0.3897, 0.3897, 0.2500], [0.6103, 0.0000, 0.2500], [0.6103, 0.6103, 0.7500]],
  "e_form_raw_kcal_per_mol_atoms": -22.35,
  "space_group": "P6_3/mcm (193)",
  "n_ef_per_ev_fu": 9.5,
  "total_energy_ev_per_fu": -43.90
}

{
  "formula": "HoSc3Tc",
  "functional": "PBE",
  "state": "relaxed",
  "lattice": [[5.0593, 0.0000, 0.0000], [0.0000, 5.0593, 0.0000], [0.0000, 0.0000, 5.0593]],
  "species": ["Ho", "Sc", "Sc", "Sc", "Tc"],
  "frac_coords": [[0.0000, 0.0000, 0.0000], [0.0000, 0.5000, 0.5000], [0.5000, 0.0000, 0.5000], [0.5000, 0.5000, 0.0000], [0.5000, 0.5000, 0.5000]],
  "de_polymorph_mev_per_atom": 149,
  "space_group": "Pm-3m (221)",
  "n_ef_per_ev_fu": 6.1,
  "total_energy_ev_per_fu": -33.65,
  "ef_ev_per_atom": 0.057
}

{
  "formula": "ErInH",
  "functional": "PBE",
  "state": "relaxed",
  "lattice": [[5.0666, -3.4315, 0.0000], [5.0666, 3.4315, 0.0000], [0.0000, 0.0000, 6.6951]],
  "species": ["Er", "Er", "Er", "Er", "In", "In", "In", "In", "H", "H", "H", "H"],
  "frac_coords": [[0.1809, 0.8191, 0.8083], [0.3191, 0.6809, 0.3083], [0.6809, 0.3191, 0.6917], [0.8191, 0.1809, 0.1917], [0.2239, 0.2239, 0.5000], [0.2761, 0.2761, 0.0000], [0.7239, 0.7239, 0.0000], [0.7761, 0.7761, 0.5000], [0.1039, 0.8961, 0.1021], [0.3961, 0.6039, 0.6021], [0.6039, 0.3961, 0.3979], [0.8961, 0.1039, 0.8979]],
  "de_polymorph_mev_per_atom": 110,
  "space_group": "Cmce (64)",
  "n_ef_per_ev_fu": 1.2,
  "total_energy_ev_per_fu": -11.80
}

{
  "formula": "Ac2TbC",
  "functional": "PBE",
  "state": "relaxed",
  "lattice": [[2.0194, 1.1659, 10.6088], [-2.0194, 1.1659, 10.6088], [0.0000, -2.3319, 10.6088]],
  "species": ["Ac", "Ac", "Tb", "C"],
  "frac_coords": [[0.0736, 0.0736, 0.0736], [0.9264, 0.9264, 0.9264], [0.5000, 0.5000, 0.5000], [0.0000, 0.0000, 0.0000]],
  "space_group": "R-3m (166)",
  "n_ef_per_ev_fu": 4.7,
  "total_energy_ev_per_fu": -17.75,
  "ef_ev_per_atom": 1.080
}

{
  "formula": "In2AgRh",
  "functional": "PBE",
  "state": "relaxed",
  "lattice": [[-1.9958, 2.0191, 4.5980], [1.9958, -2.0191, 4.5980], [1.9958, 2.0191, -4.5980]],
  "species": ["In", "In", "Ag", "Rh"],
  "frac_coords": [[0.0000, 0.0000, 0.0000], [0.7488, 0.2488, 0.5000], [0.2518, 0.7518, 0.5000], [0.5022, 0.5022, 0.0000]],
  "space_group": "Imm2 (44)",
  "n_ef_per_ev_fu": 1.0,
  "total_energy_ev_per_fu": -16.27,
  "ef_ev_per_atom": -0.146
}

{
  "formula": "LaPuCl5",
  "functional": "PBE",
  "state": "relaxed",
  "lattice": [[6.0112, -4.4208, 0.0000], [6.0112, 4.4208, 0.0000], [-4.0545, 0.0000, 9.2277]],
  "species": ["La", "La", "Pu", "Pu", "Cl", "Cl", "Cl", "Cl", "Cl", "Cl", "Cl", "Cl", "Cl", "Cl"],
  "frac_coords": [[0.0479, 0.9521, 0.7500], [0.9521, 0.0479, 0.2500], [0.5000, 0.5000, 0.0000], [0.5000, 0.5000, 0.5000], [0.1619, 0.7994, 0.0383], [0.2006, 0.8381, 0.4617], [0.2045, 0.2942, 0.3599], [0.2942, 0.2045, 0.8599], [0.3726, 0.6274, 0.7500], [0.6274, 0.3726, 0.2500], [0.7058, 0.7955, 0.1401], [0.7955, 0.7058, 0.6401], [0.7994, 0.1619, 0.5383], [0.8381, 0.2006, 0.9617]],
  "e_form_raw_kcal_per_mol_atoms": -47.44,
  "space_group": "C2/c (15)",
  "n_ef_per_ev_fu": 15.7,
  "total_energy_ev_per_fu": -42.89
}

{
  "formula": "Pm8OsRu2",
  "functional": "PBE",
  "state": "relaxed",
  "lattice": [[8.9722, -2.4797, 0.0000], [8.9722, 2.4797, 0.0000], [-1.9737, 0.0000, 6.7055]],
  "species": ["Pm", "Pm", "Pm", "Pm", "Pm", "Pm", "Pm", "Pm", "Os", "Ru", "Ru"],
  "frac_coords": [[0.0304, 0.0304, 0.2928], [0.2043, 0.2043, 0.8177], [0.3325, 0.3325, 0.5347], [0.4059, 0.4059, 0.0504], [0.5941, 0.5941, 0.9496], [0.6675, 0.6675, 0.4653], [0.7957, 0.7957, 0.1823], [0.9696, 0.9696, 0.7072], [0.5000, 0.5000, 0.5000], [0.1876, 0.1876, 0.2007], [0.8124, 0.8124, 0.7993]],
  "space_group": "C2/m (12)",
  "n_ef_per_ev_fu": 10.8,
  "total_energy_ev_per_fu": -69.10,
  "ef_ev_per_atom": -0.119
}

{
  "formula": "LiMg2Pb",
  "functional": "PBE",
  "state": "relaxed",
  "lattice": [[1.6748, 0.9670, 10.0605], [-1.6748, 0.9670, 10.0605], [0.0000, -1.9339, 10.0605]],
  "species": ["Li", "Mg", "Mg", "Pb"],
  "frac_coords": [[0.0000, 0.0000, 0.0000], [0.4117, 0.4117, 0.4117], [0.5894, 0.5894, 0.5894], [0.8344, 0.8344, 0.8344]],
  "space_group": "R3m (160)",
  "n_ef_per_ev_fu": 1.7,
  "total_energy_ev_per_fu": -8.84,
  "ef_ev_per_atom": -0.007
}

{
  "formula": "TaAl2Zn",
  "functional": "PBE",
  "state": "relaxed",
  "lattice": [[5.1762, -1.4335, 0.0000], [5.1762, 1.4335, 0.0000], [-2.1934, 0.0000, 4.3886]],
  "species": ["Ta", "Al", "Al", "Zn"],
  "frac_coords": [[0.0000, 0.0000, 0.0000], [0.2518, 0.2518, 0.9273], [0.4976, 0.4976, 0.5076], [0.7475, 0.7475, 0.4274]],
  "space_group": "Cm (8)",
  "n_ef_per_ev_fu": 1.1,
  "total_energy_ev_per_fu": -21.24,
  "ef_ev_per_atom": -0.157
}

{
  "formula": "NdErHgRu",
  "functional": "PBE",
  "state": "relaxed",
  "lattice": [[0.0000, 3.6013, 3.6013], [3.6013, 0.0000, 3.6013], [3.6013, 3.6013, 0.0000]],
  "species": ["Nd", "Er", "Hg", "Ru"],
  "frac_coords": [[0.0000, 0.0000, 0.0000], [0.5000, 0.5000, 0.5000], [0.2500, 0.2500, 0.2500], [0.7500, 0.7500, 0.7500]],
  "de_polymorph_mev_per_atom": 118,
  "space_group": "F-43m (216)",
  "n_ef_per_ev_fu": 3.3,
  "total_energy_ev_per_fu": -20.09,
  "ef_ev_per_atom": -0.296
}

{
  "formula": "MnS2BrN",
  "functional": "PBE",
  "state": "relaxed",
  "lattice": [[5.0028, 0.0000, 0.0000], [0.0000, 5.0028, 0.0000], [0.0000, 0.0000, 3.6891]],
  "species": ["Mn", "S", "S", "Br", "N"],
  "frac_coords": [[0.0000, 0.0000, 0.0000], [0.0000, 0.5000, 0.5000], [0.5000, 0.0000, 0.5000], [0.5000, 0.5000, 0.5000], [0.5000, 0.5000, 0.0000]],
  "e_form_raw_kcal_per_mol_atoms": 34.02,
  "de_polymorph_mev_per_atom": 927,
  "space_group": "P4/mmm (123)",
  "n_ef_per_ev_fu": 2.9,
  "total_energy_ev_per_fu": -20.05
}